## TbSbPd3 (PBE)

Data for an optimized crystal structure of TbSbPd3.

```
10
Lattice="-2.605 2.605 9.027 2.605 -2.605 9.027 2.605 2.605 -9.027" Properties=species:S:1:pos:R:3 pbc="T T T"
Tb 0.000 0.000 2.275
Tb 0.000 0.000 15.779
Sb 2.605 0.000 4.514
Sb 0.000 0.000 9.027
Pd 1.320 2.605 -2.262
Pd 1.285 0.000 6.765
Pd 2.605 1.320 2.262
Pd 0.000 2.605 0.791
Pd 0.000 1.285 11.289
Pd 0.000 2.605 8.236
```

Symmetry ... I-4m2 (119)
E_form (uncorrected) ... -421 meV per atom
Raw total energy ... -5.287 eV per atom